# 1
VASP calculation (PBE-GGA) on a geometry-optimized AcErGe2Pt2 structure.

a = 4.4872 Å, b = 4.4872 Å, c = 7.5508 Å
α = 90.00°, β = 90.00°, γ = 120.00°
With the nearest neighbours (Å) after each atom.
Fractional coordinates of all 6 atoms:
Ac1 0.0000 0.0000 0.0000  6 Ge 3.39, 6 Pt 3.45, 2 Er 3.78
Er1 0.0000 0.0000 0.5000  6 Pt 2.99, 6 Ge 3.04
Ge1 0.3333 0.6667 0.2894  3 Pt 2.59
Ge2 0.6667 0.3333 0.7106  3 Pt 2.59
Pt1 0.3333 0.6667 0.6983  3 Ge 2.59
Pt2 0.6667 0.3333 0.3017  3 Ge 2.59

Values from the calculation:
The calculation puts the total DFT energy (no corrections) at -6.08 eV/atom. As for the formation energy: -1.08 eV/atom.


# 2
VASP calculation (PBE-GGA) on a geometry-optimized AcErGeRh structure.

a = 5.1738 Å, b = 5.1738 Å, c = 5.1738 Å
α = 60.00°, β = 60.00°, γ = 60.00°
With the nearest neighbours (Å) after each atom.
Fractional coordinates of all 4 atoms:
Ac1 0.0000 0.0000 0.0000  4 Ge 3.17, 4 Rh 3.17
Er1 0.5000 0.5000 0.5000  4 Ge 3.17, 4 Rh 3.17
Ge1 0.7500 0.7500 0.7500  4 Er 3.17, 4 Ac 3.17
Rh1 0.2500 0.2500 0.2500  4 Ac 3.17, 4 Er 3.17

Values from the calculation:
The calculation puts the total DFT energy (no corrections) at -5.71 eV/atom. As for the formation energy: -0.55 eV/atom.


# 3
VASP calculation (PBE-GGA) on a geometry-optimized AcErGeRu structure.

a = 5.1541 Å, b = 5.1541 Å, c = 5.1541 Å
α = 60.00°, β = 60.00°, γ = 60.00°
With the nearest neighbours (Å) after each atom.
Fractional coordinates of all 4 atoms:
Ac1 0.0000 0.0000 0.0000  4 Ru 3.16, 4 Ge 3.16
Er1 0.5000 0.5000 0.5000  4 Ge 3.16, 4 Ru 3.16
Ge1 0.2500 0.2500 0.2500  4 Er 3.16, 4 Ac 3.16
Ru1 0.7500 0.7500 0.7500  4 Er 3.16, 4 Ac 3.16

Values from the calculation:
The calculation puts the total DFT energy (no corrections) at -5.89 eV/atom. As for the formation energy: -0.25 eV/atom.


Question: The highest total DFT energy (no corrections) belongs to which entry?
Answer: AcErGeRh